This record from Alexandria describes Ba2CrNi after structural relaxation. The functional is GGA-PBE.

Unit cell a=8.169 b=8.169 c=4.634 alpha=73.51 beta=73.51 gamma=30.87
Last column: magnetic moment on the atom in μB.
Fractional positions:
Ba 0.996 0.996 0.004  0.00
Ba 0.249 0.249 0.251  -0.02
Cr 0.410 0.410 0.590  3.53
Ni 0.845 0.845 0.655  0.11

crystal system = orthorhombic
space-group type = No. 44
calculated formation energy = 0.42 eV/atom
uncorrected energy = -17.6 eV per formula unit